# Y2HgH

A geometry-optimized Y2HgH structure (PBE, the Alexandria database).

It has space group I-42d (No. 122), with a = 6.8826 Å, b = 6.8826 Å, c = 7.4126 Å, α = 90.00°, β = 90.00° and γ = 90.00°. The distinct sites, in fractional coordinates, are Y at (0.1564, 0.2500, 0.1250), Hg at (0.0000, 0.0000, 0.5000) and H at (0.0000, 0.0000, 0.0000).

The raw total energy is -4.5353 eV/atom. The volume is 21.95 Å³/atom.

***

# NdMg6Ag6

A geometry-optimized NdMg6Ag6 structure (PBE, the Alexandria database).

It has space group Immm (No. 71), with a = 5.6503 Å, b = 9.5445 Å, c = 9.9528 Å, α = 90.00°, β = 90.00° and γ = 90.00°. The distinct sites, in fractional coordinates, are Nd at (0.0000, 0.0000, 0.0000), Mg at (0.0000, 0.0000, 0.3465), Mg at (0.0000, 0.3422, 0.0000), Mg at (0.0000, 0.5000, 0.3062), Ag at (0.0000, 0.2755, 0.5000) and Ag at (0.2500, 0.2500, 0.2500).

The formation energy comes out at -19 kJ/mol of atoms. The volume is 20.64 Å³/atom.

***

# V2FeSbH

A geometry-optimized V2FeSbH structure (PBE, the Alexandria database).

It has space group P4/mmm (No. 123), with a = 5.0631 Å, b = 5.0631 Å, c = 3.4006 Å, α = 90.00°, β = 90.00° and γ = 90.00°. The distinct sites, in fractional coordinates, are V at (0.0000, 0.5000, 0.0000), Fe at (0.0000, 0.0000, 0.5000), Sb at (0.5000, 0.5000, 0.0000) and H at (0.5000, 0.5000, 0.5000).

The raw total energy is -5.3342 eV/atom. The volume is 17.43 Å³/atom.

***

# MgGa3O

A geometry-optimized MgGa3O structure (PBE, the Alexandria database).

It has space group Pm-3m (No. 221), with a = 4.5030 Å, b = 4.5030 Å, c = 4.5030 Å, α = 90.00°, β = 90.00° and γ = 90.00°. The distinct sites, in fractional coordinates, are Mg at (0.0000, 0.0000, 0.0000), Ga at (0.0000, 0.5000, 0.5000) and O at (0.5000, 0.5000, 0.5000).

The value obtained for the uncorrected formation energy is -206.0 meV/atom. The volume is 18.26 Å³/atom.

***

# LaDyEr6

A geometry-optimized LaDyEr6 structure (PBE, the Alexandria database).

It has space group R-3m (No. 166, hexagonal axes), with a = 8.6740 Å, b = 8.6740 Å, c = 12.9304 Å, α = 90.00°, β = 90.00° and γ = 120.00°. The distinct sites, in fractional coordinates, are La at (0.0000, 0.0000, 0.0000), Dy at (0.0000, 0.0000, 0.5000) and Er at (0.0913, 0.5457, 0.3900).

The formation energy comes out at 57 kJ/mol of atoms. The volume is 35.10 Å³/atom.

***

# CePr2RhN4

A geometry-optimized CePr2RhN4 structure (PBE, the Alexandria database).

It has space group Cmcm (No. 63), with a = 3.4705 Å, b = 11.9711 Å, c = 12.1116 Å, α = 90.00°, β = 90.00° and γ = 90.00°. The distinct sites, in fractional coordinates, are Ce at (0.0000, 0.1114, 0.2500), Pr at (0.0000, 0.3697, 0.0503), Rh at (0.0000, 0.1521, 0.7500), N at (0.0000, 0.0000, 0.0000), N at (0.0000, 0.2844, 0.6397) and N at (0.0000, 0.4546, 0.2500).

The value obtained for the uncorrected formation energy is -833.6 meV/atom. The volume is 15.72 Å³/atom.

***

| no. | DOS at the Fermi energy (states/eV/cell) | spin magnetization (μB/f.u.) | theoretical density (g/cm³) |
| --- | --- | --- | --- |
| 1 | 16.590 | 0.000 | 7.18 |
| 2 | 14.034 | 0.000 | 5.80 |
| 3 | 8.303 | 5.350 | 5.34 |
| 4 | 1.992 | 0.000 | 4.54 |
| 5 | 34.373 | 0.008 | 7.72 |
| 6 | 11.843 | 0.000 | 7.67 |